(1)
! PBE-GGA Zr3NbGa3, optimized geometry; values from VASP
&SYSTEM
  ibrav = 0, nat = 14, ntyp = 3
/
ATOMIC_SPECIES
Ga 69.72 Ga.upf
Zr 91.22 Zr.upf
Nb 92.91 Nb.upf
CELL_PARAMETERS angstrom
5.691 0.540 0.243
-2.052 5.336 0.243
-0.385 -0.621 8.760
ATOMIC_POSITIONS angstrom
Ga 3.442 5.558 2.528
Ga -0.188 -0.303 6.718
Ga 0.704 4.957 6.886
Ga 2.550 0.297 2.360
Ga 4.124 2.839 6.886
Ga -0.870 2.416 2.360
Zr 1.916 3.093 3.030
Zr -0.119 4.138 0.243
Zr -0.821 4.143 4.623
Zr 3.758 1.737 0.243
Zr 1.339 2.161 6.215
Zr 4.075 1.111 4.623
Nb 0.949 1.532 0.288
Nb 2.306 3.722 8.958
! **Formation enthalpy at 0 K**: -322 meV/atom
! **Crystal system**: monoclinic
! **Space-group type**: C2/m (12)

=====

(2)
! PBE-GGA Mo2C, optimized geometry; values from VASP
&SYSTEM
  ibrav = 0, nat = 6, ntyp = 2
/
ATOMIC_SPECIES
Mo 95.94 Mo.upf
C 12.01 C.upf
CELL_PARAMETERS angstrom
-2.414 1.694 -1.797
-1.928 0.279 2.852
2.778 5.392 1.350
ATOMIC_POSITIONS angstrom
Mo 0.000 0.000 0.000
Mo -0.210 2.781 -0.414
Mo -2.171 0.986 0.527
Mo 0.817 3.597 2.292
C -0.147 1.726 1.823
C 0.753 4.652 0.054
! **Formation enthalpy at 0 K**: 635 meV/atom
! **Crystal system**: tetragonal
! **Space-group type**: P4/nmm (129)

=====

(3)
! PBE-GGA BaMg6Cr, optimized geometry; values from VASP
&SYSTEM
  ibrav = 0, nat = 8, ntyp = 3
/
ATOMIC_SPECIES
Mg 24.30 Mg.upf
Ba 137.33 Ba.upf
Cr 52.00 Cr.upf
CELL_PARAMETERS angstrom
3.173 -6.802 0.000
3.173 6.802 0.000
0.000 0.000 5.079
ATOMIC_POSITIONS angstrom
Mg 4.853 -0.842 2.540
Mg 3.173 3.886 0.000
Mg 1.609 0.976 0.000
Mg 3.173 -1.656 0.000
Mg 4.738 0.976 0.000
Mg 1.493 -0.842 2.540
Ba 3.173 -4.016 2.540
Cr 3.173 1.518 2.540
! **Formation enthalpy at 0 K**: 244 meV/atom
! **Crystal system**: orthorhombic
! **Space-group type**: Amm2 (38)

=====

(4)
! PBE-GGA Li2CuTc, optimized geometry; values from VASP
&SYSTEM
  ibrav = 0, nat = 4, ntyp = 3
/
ATOMIC_SPECIES
Li 6.94 Li.upf
Cu 63.55 Cu.upf
Tc 98.00 Tc.upf
CELL_PARAMETERS angstrom
-3.523 1.338 1.823
-2.441 2.784 -1.954
-3.720 -1.178 -1.518
ATOMIC_POSITIONS angstrom
Li -7.263 2.208 -1.237
Li -2.421 0.736 -0.412
Cu 0.000 0.000 0.000
Tc -4.842 1.472 -0.825
! **Formation enthalpy at 0 K**: 554 meV/atom
! **Crystal system**: cubic
! **Space-group type**: Fm-3m (225)

=====

(5)
! PBE-GGA CaTlIn2Bi, optimized geometry; values from VASP
&SYSTEM
  ibrav = 0, nat = 10, ntyp = 4
/
ATOMIC_SPECIES
Tl 204.38 Tl.upf
Bi 208.98 Bi.upf
In 114.82 In.upf
Ca 40.08 Ca.upf
CELL_PARAMETERS angstrom
-3.395 4.693 2.288
0.380 -2.450 5.590
6.867 5.625 -1.346
ATOMIC_POSITIONS angstrom
Tl 4.312 3.047 4.387
Tl -0.460 4.820 2.144
Bi 0.550 4.106 5.107
Bi 3.303 3.761 1.424
In -1.603 1.734 2.540
In 0.095 -0.612 1.396
In 0.285 -1.838 4.194
In -1.412 0.508 5.338
Ca 2.226 6.494 2.695
Ca 1.627 1.373 3.836
! **Formation enthalpy at 0 K**: -104 meV/atom
! **Crystal system**: orthorhombic
! **Space-group type**: Cmcm (63)

=====

(6)
! PBE-GGA K3TbRh3O8, optimized geometry; values from VASP
&SYSTEM
  ibrav = 0, nat = 15, ntyp = 4
/
ATOMIC_SPECIES
O 16.00 O.upf
K 39.10 K.upf
Rh 102.91 Rh.upf
Tb 158.93 Tb.upf
CELL_PARAMETERS angstrom
6.401 0.000 0.000
-3.201 5.544 -0.020
0.000 -3.676 6.128
ATOMIC_POSITIONS angstrom
O 1.717 -0.851 1.969
O 0.000 0.149 4.148
O -1.484 2.719 4.139
O 1.484 2.718 4.139
O 3.201 0.013 4.073
O 0.000 1.854 2.035
O 4.684 -0.851 1.969
O 3.201 1.719 1.960
K 1.600 2.772 -0.010
K 0.000 0.000 0.000
K -1.600 2.772 -0.010
Rh -1.600 0.934 3.054
Rh 1.600 0.934 3.054
Rh 3.201 -1.838 3.064
Tb 0.000 -1.838 3.064
! **ΔE_f (raw)**: -1.414 eV per atom
! **Crystal system**: trigonal
! **Space-group type**: R-3m (166)

=====

(7)
! PBE-GGA SmTmGe4, optimized geometry; values from VASP
&SYSTEM
  ibrav = 0, nat = 6, ntyp = 3
/
ATOMIC_SPECIES
Ge 72.64 Ge.upf
Tm 168.93 Tm.upf
Sm 150.36 Sm.upf
CELL_PARAMETERS angstrom
-2.658 -1.040 4.873
2.980 -0.734 4.741
-0.119 3.937 4.048
ATOMIC_POSITIONS angstrom
Ge 0.126 1.350 8.526
Ge 0.185 -0.603 6.518
Ge -1.352 1.714 6.174
Ge 1.445 1.865 6.108
Tm 0.051 0.541 3.416
Sm 0.000 0.000 0.000
! **Formation enthalpy at 0 K**: -303 meV/atom
! **Crystal system**: cubic
! **Space-group type**: F-43m (216)

=====

(8)
! PBE-GGA PmAs2Pb2O6, optimized geometry; values from VASP
&SYSTEM
  ibrav = 0, nat = 11, ntyp = 4
/
ATOMIC_SPECIES
Pb 207.20 Pb.upf
As 74.92 As.upf
O 16.00 O.upf
Pm 145.00 Pm.upf
CELL_PARAMETERS angstrom
6.021 0.000 0.000
-3.010 5.091 -2.170
0.000 -5.206 9.003
ATOMIC_POSITIONS angstrom
Pb 0.000 3.660 -1.290
Pb 3.010 -3.775 8.123
As 3.010 0.885 3.513
As 0.000 -1.000 3.320
O 1.356 -3.060 6.191
O -1.654 2.945 0.642
O 0.000 0.155 1.995
O 1.654 2.945 0.642
O 3.010 -0.270 4.839
O 4.664 -3.060 6.191
Pm 3.010 -2.603 4.502
! **ΔE_f (raw)**: -1.577 eV per atom
! **Crystal system**: monoclinic
! **Space-group type**: C2/m (12)

=====

(9)
! PBE-GGA HfMgOs2, optimized geometry; values from VASP
&SYSTEM
  ibrav = 0, nat = 8, ntyp = 3
/
ATOMIC_SPECIES
Os 190.23 Os.upf
Mg 24.30 Mg.upf
Hf 178.49 Hf.upf
CELL_PARAMETERS angstrom
-2.081 -3.364 -6.082
4.608 -5.421 1.422
-0.688 -5.689 -0.946
ATOMIC_POSITIONS angstrom
Os 2.455 -5.220 -0.088
Os 0.417 -7.543 -2.462
Os 1.711 -11.972 -4.782
Os -0.903 -4.214 -3.880
Mg 2.592 -7.751 -0.927
Mg 1.264 -4.393 -2.330
Hf 0.000 0.000 0.000
Hf -0.752 -6.723 -4.679
! **Formation enthalpy at 0 K**: 623 meV/atom
! **Crystal system**: tetragonal
! **Space-group type**: I-42d (122)

=====

(10)
! PBE-GGA Ba4AlP, optimized geometry; values from VASP
&SYSTEM
  ibrav = 0, nat = 6, ntyp = 3
/
ATOMIC_SPECIES
Ba 137.33 Ba.upf
Al 26.98 Al.upf
P 30.97 P.upf
CELL_PARAMETERS angstrom
0.000 4.959 4.959
4.959 0.000 4.959
4.959 4.959 0.000
ATOMIC_POSITIONS angstrom
Ba 6.188 3.730 6.188
Ba 6.188 6.188 3.730
Ba 3.730 3.730 3.730
Ba 3.730 6.188 6.188
Al 0.000 0.000 0.000
P 7.439 7.439 7.439
! **Formation enthalpy at 0 K**: 560 meV/atom
! **Crystal system**: cubic
! **Space-group type**: F-43m (216)

=====

(11)
! PBE-GGA Dy5IrRu2, optimized geometry; values from VASP
&SYSTEM
  ibrav = 0, nat = 16, ntyp = 3
/
ATOMIC_SPECIES
Ru 101.07 Ru.upf
Dy 162.50 Dy.upf
Ir 192.22 Ir.upf
CELL_PARAMETERS angstrom
6.570 0.000 -3.102
-1.464 6.405 -3.102
0.109 0.137 8.741
ATOMIC_POSITIONS angstrom
Ru 1.188 5.611 -3.884
Ru 3.918 0.794 -2.320
Ru 4.843 3.996 -4.652
Ru 0.264 2.409 -1.551
Dy 4.003 6.234 -3.033
Dy 0.000 0.000 0.000
Dy 2.553 3.203 -3.102
Dy -0.486 3.511 4.477
Dy 2.632 2.089 0.068
Dy 2.584 4.453 2.470
Dy 5.701 3.031 -1.938
Dy 4.282 1.250 3.565
Dy 1.212 0.309 5.571
Dy 0.933 5.292 -1.026
Ir 1.331 1.670 2.820
Ir 3.884 4.872 -0.282
! **Formation enthalpy at 0 K**: -483 meV/atom
! **Crystal system**: tetragonal
! **Space-group type**: I4/mcm (140)

=====

(12)
! PBE-GGA CsFePdCl6, optimized geometry; values from VASP
&SYSTEM
  ibrav = 0, nat = 9, ntyp = 4
/
ATOMIC_SPECIES
Cl 35.45 Cl.upf
Fe 55.84 Fe.upf
Cs 132.91 Cs.upf
Pd 106.42 Pd.upf
CELL_PARAMETERS angstrom
-0.491 0.755 -7.060
4.029 -2.807 -4.177
-4.667 -6.006 -1.116
ATOMIC_POSITIONS angstrom
Cl -1.797 -1.519 -4.802
Cl 0.764 -3.596 -5.663
Cl -2.039 -4.934 -7.129
Cl -3.272 -3.790 -3.382
Cl -0.954 -4.961 -10.398
Cl -0.182 -2.129 -8.626
Fe -0.090 -4.289 -8.032
Cs -0.955 -8.575 -5.249
Pd -1.147 -3.688 -4.303
! **ΔE_f (raw)**: -0.923 eV per atom
! **Crystal system**: triclinic
! **Space-group type**: P1 (1)